Record 1
Material: La7Tb4Tm
Method: DFT, PBE-GGA
State: relaxed

Calculated values
* theoretical density: 6911 kg/m3
* calculated total energy: -54.9 eV per cell
* crystal system: monoclinic
* DFT formation energy: 0.214 eV/atom
* ΔE to the lowest computed polymorph: 2.35 eV/f.u.

Cell and atoms, written as CIF:
```
data_La7Tb4Tm
_symmetry_space_group_name_H-M 'P 1'
_symmetry_Int_Tables_number 1
_cell_length_a 8.7597
_cell_length_b 8.7597
_cell_length_c 9.4954
_cell_angle_alpha 114.51
_cell_angle_beta 114.51
_cell_angle_gamma 40.81
loop_
_symmetry_equiv_pos_as_xyz
'x,y,z'
loop_
_atom_site_label
_atom_site_type_symbol
_atom_site_fract_x
_atom_site_fract_y
_atom_site_fract_z
_atom_site_occupancy
La1 La 0.0000 0.0000 0.0000 1
La2 La 0.2913 0.2913 0.7748 1
La3 La 0.2948 0.2948 0.1196 1
La4 La 0.4160 0.4160 0.5604 1
La5 La 0.5840 0.5840 0.4396 1
La6 La 0.7052 0.7052 0.8804 1
La7 La 0.7087 0.7087 0.2252 1
Tb1 Tb 0.0710 0.0710 0.6963 1
Tb2 Tb 0.1723 0.1723 0.3905 1
Tb3 Tb 0.8277 0.8277 0.6095 1
Tb4 Tb 0.9290 0.9290 0.3037 1
Tm1 Tm 0.5000 0.5000 0.0000 1
```

=====

Record 2
Material: Ca3ErPa3N8
Method: DFT, PBE-GGA
State: relaxed

Calculated values
* theoretical density: 7394 kg/m3
* calculated total energy: -127.0 eV per cell
* crystal system: trigonal

Cell and atoms, written as CIF:
```
data_Ca3ErPa3N8
_symmetry_space_group_name_H-M 'P 1'
_symmetry_Int_Tables_number 1
_cell_length_a 6.9996
_cell_length_b 6.9996
_cell_length_c 6.9996
_cell_angle_alpha 60.53
_cell_angle_beta 60.53
_cell_angle_gamma 60.53
loop_
_symmetry_equiv_pos_as_xyz
'x,y,z'
loop_
_atom_site_label
_atom_site_type_symbol
_atom_site_fract_x
_atom_site_fract_y
_atom_site_fract_z
_atom_site_occupancy
Ca1 Ca 0.0000 0.5000 0.5000 1
Ca2 Ca 0.5000 0.0000 0.5000 1
Ca3 Ca 0.5000 0.5000 0.0000 1
Er1 Er 0.5000 0.5000 0.5000 1
Pa1 Pa 0.0000 0.0000 0.5000 1
Pa2 Pa 0.0000 0.5000 0.0000 1
Pa3 Pa 0.5000 0.0000 0.0000 1
N1 N 0.2256 0.7344 0.7344 1
N2 N 0.2420 0.2420 0.2420 1
N3 N 0.2656 0.2656 0.7744 1
N4 N 0.2656 0.7744 0.2656 1
N5 N 0.7344 0.2256 0.7344 1
N6 N 0.7344 0.7344 0.2256 1
N7 N 0.7580 0.7580 0.7580 1
N8 N 0.7744 0.2656 0.2656 1
```

=====

Record 3
Material: In2NiPt
Method: DFT, PBE-GGA
State: relaxed

Calculated values
* theoretical density: 11544 kg/m3
* calculated total energy: -17.3 eV per cell
* crystal system: cubic
* DFT formation energy: 0.002 eV/atom

Cell and atoms, written as CIF:
```
data_In2NiPt
_symmetry_space_group_name_H-M 'P 1'
_symmetry_Int_Tables_number 1
_cell_length_a 4.6157
_cell_length_b 4.6157
_cell_length_c 4.6157
_cell_angle_alpha 60.00
_cell_angle_beta 60.00
_cell_angle_gamma 60.00
loop_
_symmetry_equiv_pos_as_xyz
'x,y,z'
loop_
_atom_site_label
_atom_site_type_symbol
_atom_site_fract_x
_atom_site_fract_y
_atom_site_fract_z
_atom_site_occupancy
In1 In 0.0000 0.0000 0.0000 1
In2 In 0.2500 0.2500 0.2500 1
Ni1 Ni 0.7500 0.7500 0.7500 1
Pt1 Pt 0.5000 0.5000 0.5000 1
```